A geometry-optimized RbV2ZnO6 structure. Source: Alexandria via LeMat-Bulk, functional PBE+U.

Structure (extended XYZ):
```
20
Lattice="-5.1330 3.1620 -0.9963 -1.0124 -0.1717 -7.9770 -5.9500 -5.1741 1.5853" Properties=species:S:1:pos:R:3 pbc="T T T"
Rb -2.8580 0.0491 -7.1370
Rb -9.2374 -2.2329 -0.2509
V -6.2689 -2.2117 -5.6017
V -2.4503 -0.7328 -2.8563
V -5.8265 0.0279 -1.7862
V -9.6451 -1.4510 -4.5317
Zn -6.0671 -3.2022 -0.9221
Zn -6.0283 1.0184 -6.4659
O -6.6417 -3.2255 -6.9603
O -1.6512 0.7129 -2.3231
O -5.4537 1.0417 -0.4277
O -10.4442 -2.8967 -5.0648
O -5.4205 -0.7449 -5.9908
O -2.2295 -1.1164 -4.5375
O -6.6749 -1.4389 -1.3971
O -9.8658 -1.0674 -2.8504
O -5.2249 -3.2610 -4.5235
O -4.2237 -0.4225 -2.5216
O -6.8705 1.0772 -2.8644
O -7.8717 -1.7613 -4.8663
```

Values from the calculation:
**Calculated total energy**: -6.497 eV per atom